8
Lattice="5.056 0.000 0.000 0.000 7.050 0.000 0.000 0.000 2.545" Properties=species:S:1:pos:R:3 comment="Co3Rh (GGA-PBEsol, relaxed)" sg="No. 65" delta_e_f_ev_per_atom=0.0757 total_magnetization_mub_per_fu=5.5 pbc="T T T"
Co 0.000 0.000 0.000
Co 1.264 1.762 1.272
Co 1.264 5.287 1.272
Co 2.528 3.525 0.000
Co 3.792 1.762 1.272
Co 3.792 5.287 1.272
Rh 0.000 3.525 0.000
Rh 2.528 0.000 0.000